Material: NaMnInI4
Method: DFT, PBE
State: optimized geometry

Values from the calculation:
Calculated volume ... 283.2 Å³/f.u.
ΔE_f (raw) ... -658 meV per atom
Total magnetization ... 5.000 μB/f.u.

POSCAR file:
```
NaMnInI4
1.0
-0.331 4.615 6.184
-8.150 1.013 -1.192
-1.508 -8.596 3.004
In Mn I Na
2 2 8 2
Cartesian
-2.195 0.779 1.223
-7.794 -3.746 6.773
-6.668 -0.856 1.532
-3.320 -2.111 6.464
-4.470 -1.760 0.220
-6.444 1.723 2.192
-0.406 -2.266 0.814
-9.582 -0.702 7.181
-5.518 -1.207 7.776
-7.169 -2.315 3.714
-3.545 -4.691 5.804
-2.820 -0.652 4.282
-2.961 -3.507 2.822
-7.027 0.539 5.173
```



Material: InBr3Cl
Method: DFT, PBE
State: optimized geometry

Values from the calculation:
Calculated volume ... 161.4 Å³/f.u.
Distance to the lowest polymorph of the same formula ... 0.000 eV/atom
ΔE_f (raw) ... -193 meV per atom
Total magnetization ... 1.194 μB/f.u.

POSCAR file:
```
InBr3Cl
1.0
5.445 0.000 0.000
0.000 5.445 0.000
0.000 0.000 5.445
Br In Cl
3 1 1
Cartesian
0.000 0.000 2.723
0.000 2.723 0.000
2.723 0.000 0.000
0.000 0.000 0.000
2.723 2.723 2.723
```



Material: PrScS2
Method: DFT, PBE
State: optimized geometry

Values from the calculation:
Calculated volume ... 83.8 Å³/f.u.
Distance to the lowest polymorph of the same formula ... 0.000 eV/atom
ΔE_f (raw) ... -1925 meV per atom
Total magnetization ... 0.000 μB/f.u.

POSCAR file:
```
PrScS2
1.0
-0.938 -2.583 -2.681
2.482 -2.771 -0.948
-2.049 -5.667 3.427
S Pr Sc
2 1 1
Cartesian
-0.467 -8.401 0.010
-0.037 -2.620 -0.212
-0.252 -5.511 -0.101
0.000 0.000 0.000
```



Material: SbPt7
Method: DFT, PBE
State: optimized geometry

Values from the calculation:
Calculated volume ... 130.5 Å³/f.u.
ΔE_f (raw) ... -120 meV per atom
Total magnetization ... 0.000 μB/f.u.

POSCAR file:
```
SbPt7
1.0
-5.243 -2.167 -0.483
-1.896 -3.749 3.842
-4.058 1.515 3.694
Pt Sb
7 1
Cartesian
-4.650 -0.326 1.606
-2.029 0.758 1.847
-0.948 -1.875 1.921
-3.569 -2.958 1.680
-5.598 -2.200 3.527
-2.621 -1.083 -0.242
-2.977 -1.117 3.768
0.000 0.000 0.000
```



Material: BeIn
Method: DFT, PBE
State: optimized geometry

Values from the calculation:
Calculated volume ... 36.1 Å³/f.u.
ΔE_f ... 0.41 eV per atom
Distance to the lowest polymorph of the same formula ... 0.121 eV/atom
Total magnetization ... 0.000 μB/f.u.

POSCAR file:
```
BeIn
1.0
-1.257 -1.107 -2.272
-5.675 -10.202 8.111
-2.883 2.069 0.586
In Be
4 4
Cartesian
-1.872 -0.976 -0.243
-7.943 -8.265 6.667
-4.081 -5.524 4.949
-4.477 -2.610 3.748
-5.622 -7.718 5.117
-2.156 -2.063 2.198
-4.192 -1.523 1.307
-6.402 -6.070 6.499
```



Material: BeV4Sn2
Method: DFT, PBE
State: optimized geometry

Values from the calculation:
Calculated volume ... 116.9 Å³/f.u.
ΔE_f ... 0.31 eV per atom
Total magnetization ... 1.687 μB/f.u.

POSCAR file:
```
BeV4Sn2
1.0
4.126 0.000 0.000
0.000 4.126 0.000
2.063 2.063 6.868
Sn V Be
2 4 1
Cartesian
4.126 4.126 4.891
2.063 2.063 1.977
4.126 4.126 2.136
0.000 2.063 0.000
2.063 0.000 0.000
2.063 2.063 4.732
0.000 0.000 0.000
```



What is the formula in the fourth record? SbPt7